Entry w
GGA-PBE Y2ZrCu2, relaxed; M_tot = 0.0 μB per formula unit; SG = P4/mbm (127)
1.0
7.800 0.000 0.000
0.000 7.800 0.000
0.000 0.000 3.607
Y Zr Cu
4 2 4
Cartesian
1.322 2.578 0.000 Y
2.578 6.479 0.000 Y
5.222 1.322 0.000 Y
6.479 5.222 0.000 Y
0.000 0.000 1.803 Zr
3.900 3.900 1.803 Zr
0.974 4.874 1.803 Cu
2.926 0.974 1.803 Cu
4.874 6.827 1.803 Cu
6.827 2.926 1.803 Cu



Entry x
GGA-PBE Y2ZrCu2, relaxed; M_tot = 1.4 μB per formula unit; SG = P4/mbm (127)
1.0
8.112 0.000 0.000
0.000 8.112 0.000
0.000 0.000 3.311
Y Zr Cu
4 2 4
Cartesian
1.207 2.849 0.000 Y
2.849 6.905 0.000 Y
5.263 1.207 0.000 Y
6.905 5.263 0.000 Y
0.000 0.000 0.000 Zr
4.056 4.056 0.000 Zr
1.201 5.257 1.656 Cu
2.855 1.201 1.656 Cu
5.257 6.911 1.656 Cu
6.911 2.855 1.656 Cu



Name the most stable of them. entry w.